# 1
Here is Zn4Cu3Ir2 after structural relaxation from the Alexandria database. Energies are from GGA-PBE.

abc: 3.903 4.450 7.965
angles: 78.60 89.95 64.11
Space group P-1 (No. 2)
Inequivalent atoms, fractional coordinates:
Zn 0.003 0.493 0.336 [2 per cell]
Zn 0.332 0.835 0.111 [2 per cell]
Cu 0.000 0.500 0.000 [1 per cell]
Cu 0.331 0.837 0.442 [2 per cell]
Ir 0.335 0.830 0.780 [2 per cell]

## Properties
- formation energy from the elements (eV/atom) = -0.12
- DFT total energy (eV/atom) = -4.017

# 2
Here is Si3W after structural relaxation from the Alexandria database. Energies are from GGA-PBE.

abc: 5.515 7.457 2.722
angles: 90.00 90.00 90.00
Space group Cmmm (No. 65)
Inequivalent atoms, fractional coordinates:
Si 0.000 0.000 0.000 [2 per cell]
Si 0.250 0.250 0.500 [4 per cell]
W 0.000 0.500 0.000 [2 per cell]

## Properties
- formation energy from raw total energies (eV/atom) = 0.29
- DFT total energy (eV/atom) = -7.018

# 3
Here is AcEuNiIr after structural relaxation from the Alexandria database. Energies are from GGA-PBE.

abc: 7.207 7.207 7.207
angles: 90.00 90.00 90.00
Space group F-43m (No. 216)
Inequivalent atoms, fractional coordinates:
Ac 0.000 0.000 0.000 [4 per cell]
Eu 0.000 0.000 0.500 [4 per cell]
Ni 0.250 0.250 0.750 [4 per cell]
Ir 0.250 0.250 0.250 [4 per cell]

## Properties
- formation energy from the elements (eV/atom) = -0.26
- DFT total energy (eV/atom) = -7.516

# 4
Here is Rb2Na12Se7 after structural relaxation from the Alexandria database. Energies are from GGA-PBE.

abc: 11.8561 11.8561 4.6134
angles: 90.00 90.00 120.00
Space group P-6 (No. 174)
Inequivalent atoms, fractional coordinates:
Rb 0.0000 0.0000 0.0000 [1 per cell]
Rb 0.3333 0.6667 0.5000 [1 per cell]
Na 0.0556 0.2843 0.5000 [3 per cell]
Na 0.0953 0.7001 0.0000 [3 per cell]
Na 0.3912 0.1764 0.0000 [3 per cell]
Na 0.5471 0.4307 0.5000 [3 per cell]
Se 0.0792 0.4453 0.0000 [3 per cell]
Se 0.2633 0.2173 0.5000 [3 per cell]
Se 0.6667 0.3333 0.0000 [1 per cell]

## Properties
- formation energy from raw total energies (eV/atom) = -1.06
- DFT total energy (eV/atom) = -3.066

# 5
Here is BaTaBe2 after structural relaxation from the Alexandria database. Energies are from GGA-PBE.

abc: 3.497 3.955 12.198
angles: 90.00 90.00 90.00
Space group Imm2 (No. 44)
Inequivalent atoms, fractional coordinates:
Ba 0.000 0.000 0.000 [2 per cell]
Ta 0.000 0.500 0.239 [2 per cell]
Be 0.000 0.000 0.346 [2 per cell]
Be 0.000 0.500 0.751 [2 per cell]

## Properties
- formation energy from the elements (eV/atom) = 0.61
- DFT total energy (eV/atom) = -4.700

# 6
Here is Ge2Se after structural relaxation from the Alexandria database. Energies are from GGA-PBE.

abc: 7.311 4.129 5.681
angles: 90.00 116.93 90.00
Space group C2 (No. 5)
Inequivalent atoms, fractional coordinates:
Ge 0.138 0.000 0.422 [4 per cell]
Se 0.000 0.718 0.000 [2 per cell]

## Properties
- formation energy from raw total energies (eV/atom) = -0.02
- DFT total energy (eV/atom) = -4.257

# 7
Here is ScTiOs after structural relaxation from the Alexandria database. Energies are from GGA-PBE.

abc: 3.121 3.121 23.084
angles: 90.00 90.00 90.00
Space group I4/mmm (No. 139)
Inequivalent atoms, fractional coordinates:
Sc 0.000 0.000 0.075 [4 per cell]
Ti 0.000 0.000 0.210 [4 per cell]
Os 0.000 0.000 0.352 [4 per cell]

## Properties
- formation energy from the elements (eV/atom) = -0.37
- DFT total energy (eV/atom) = -8.855

# 8
Here is HoAlZnHg after structural relaxation from the Alexandria database. Energies are from GGA-PBE.

abc: 6.907 6.907 6.907
angles: 90.00 90.00 90.00
Space group F-43m (No. 216)
Inequivalent atoms, fractional coordinates:
Ho 0.000 0.000 0.000 [4 per cell]
Al 0.000 0.000 0.500 [4 per cell]
Zn 0.250 0.250 0.250 [4 per cell]
Hg 0.250 0.250 0.750 [4 per cell]

## Properties
- formation energy from the elements (eV/atom) = -0.27
- DFT total energy (eV/atom) = -2.740